Run P
Entry from the Alexandria database: an optimized crystal structure of Mg2CdIn5 (PBE).

Cell lengths 4.722, 6.571, 12.668 Å; angles 90.00, 90.00, 90.00 degrees
Atoms (fractional coordinates):
Cd  0.000  0.500  0.000
In  0.500  0.746  0.122
Mg  0.500  0.248  0.126
In  0.000  0.498  0.246
In  0.000  0.000  0.000
In  0.000  0.002  0.746
Mg  0.500  0.748  0.374
Mg  0.500  0.252  0.626
In  0.500  0.254  0.878
In  0.000  0.998  0.254
In  0.500  0.754  0.622
In  0.000  0.500  0.500
In  0.000  0.502  0.754
Mg  0.500  0.752  0.874
In  0.500  0.246  0.378
Cd  0.000  0.000  0.500

SG: Pbam (55)
Magnetic moment, μB per atom: 0.000

Run Q
Entry from the Alexandria database: an optimized crystal structure of Mg2CdIn5 (PBE).

Cell lengths 3.181, 11.248, 11.897 Å; angles 90.00, 90.00, 98.13 degrees
Atoms (fractional coordinates):
In  0.959  0.918  0.618
In  0.687  0.373  0.479
In  0.959  0.918  0.882
In  0.041  0.082  0.118
In  0.215  0.430  0.750
Mg  0.094  0.188  0.622
In  0.313  0.627  0.521
Mg  0.906  0.812  0.378
In  0.785  0.570  0.250
Cd  0.839  0.678  0.750
Cd  0.161  0.322  0.250
Mg  0.094  0.188  0.878
In  0.041  0.082  0.382
In  0.687  0.373  0.021
In  0.313  0.627  0.979
Mg  0.906  0.812  0.122

SG: Cmcm (63)
Magnetic moment, μB per atom: 0.000

The structure with the most favorable energy is run P; the runner-up is 0.106 eV/atom above it.

Run P
Entry from the Alexandria database: an optimized crystal structure of Mg7CdIn3 (PBE).

Cell lengths 5.511, 7.589, 7.589 Å; angles 91.24, 111.19, 111.19 degrees
Atoms (fractional coordinates):
Mg  0.328  0.059  0.596
Mg  0.177  0.186  0.186
In  0.000  0.231  0.769
Mg  0.672  0.941  0.404
In  0.000  0.769  0.231
In  0.500  0.000  0.000
Cd  0.500  0.500  0.500
Mg  0.000  0.500  0.500
Mg  0.672  0.404  0.941
Mg  0.823  0.814  0.814
Mg  0.328  0.596  0.059

SG: C2/m (12)
Magnetic moment, μB per atom: 0.000

Run Q
Entry from the Alexandria database: an optimized crystal structure of Mg7CdIn3 (PBE).

Cell lengths 3.289, 11.977, 13.268 Å; angles 90.00, 90.00, 97.89 degrees
Atoms (fractional coordinates):
In  0.915  0.831  0.564
Mg  0.787  0.574  0.582
In  0.230  0.460  0.750
Mg  0.481  0.961  0.384
Cd  0.907  0.813  0.250
Mg  0.481  0.961  0.116
Mg  0.655  0.310  0.593
Mg  0.631  0.262  0.250
Mg  0.369  0.738  0.750
Mg  0.213  0.426  0.418
Mg  0.345  0.690  0.407
In  0.770  0.540  0.250
In  0.915  0.831  0.936
In  0.085  0.169  0.064
In  0.085  0.169  0.436
Mg  0.213  0.426  0.082
Mg  0.787  0.574  0.918
Cd  0.093  0.187  0.750
Mg  0.519  0.039  0.616
Mg  0.345  0.690  0.093
Mg  0.519  0.039  0.884
Mg  0.655  0.310  0.907

SG: Cmcm (63)
Magnetic moment, μB per atom: 0.000

The structure with the most favorable energy is run Q; the runner-up is 0.073 eV/atom above it.

Run P
Entry from the Alexandria database: an optimized crystal structure of Mg2CdIn3 (PBE).

Cell lengths 5.655, 5.866, 10.075 Å; angles 85.42, 80.46, 61.18 degrees
Atoms (fractional coordinates):
Mg  0.169  0.662  0.500
In  0.091  0.332  0.747
In  0.577  0.332  0.253
Cd  0.334  0.331  0.000
In  0.909  0.668  0.253
Mg  0.500  0.000  0.500
Mg  0.000  0.000  0.000
In  0.758  0.000  0.747
In  0.242  0.000  0.253
Mg  0.831  0.338  0.500
Cd  0.666  0.669  0.000
In  0.423  0.668  0.747

SG: C2/m (12)
Magnetic moment, μB per atom: 0.000

Run Q
Entry from the Alexandria database: an optimized crystal structure of Mg2CdIn3 (PBE).

Cell lengths 5.716, 5.716, 10.954 Å; angles 111.36, 111.36, 66.66 degrees
Atoms (fractional coordinates):
Cd  0.321  0.321  0.642
In  0.819  0.819  0.161
In  0.181  0.181  0.839
In  0.833  0.833  0.666
In  0.658  0.658  0.839
Mg  0.250  0.750  0.500
In  0.342  0.342  0.161
In  0.167  0.167  0.334
Mg  0.754  0.246  0.000
Cd  0.679  0.679  0.358
Mg  0.750  0.250  0.500
Mg  0.246  0.754  0.000

SG: Fmmm (69)
Magnetic moment, μB per atom: 0.000

The structure with the most favorable energy is run P; the runner-up is 0.028 eV/atom above it.